(1)
Here is a crystal of Sc2AlTl relaxed with PBEsol from the Alexandria database. Energies are from meta-GGA SCAN.

Computed properties:
* N(E_F): 0.557 states/eV per atom
* energy of formation from the pure elements: -1.89 eV/f.u.
* DFT total energy: -27.619 eV/atom

Cell lengths 4.3998, 4.3998, 8.4217 Å; angles 90.00, 90.00, 90.00 degrees
Space group I4/mmm (No. 139)
Unique sites:
Sc  0.0000  0.5000  0.2500 x4
Al  0.0000  0.0000  0.0000 x2
Tl  0.0000  0.0000  0.5000 x2


(2)
Here is a crystal of Sc2AlTl relaxed with PBEsol from the Alexandria database. Energies are from meta-GGA SCAN.

Computed properties:
* N(E_F): 0.474 states/eV per atom
* energy of formation from the pure elements: -1.65 eV/f.u.
* DFT total energy: -27.559 eV/atom

Cell lengths 3.3103, 4.9309, 5.0352 Å; angles 90.00, 90.00, 90.00 degrees
Space group Pmm2 (No. 25)
Unique sites:
Sc  0.0000  0.0000  0.0000 x1
Sc  0.0000  0.5000  0.4238 x1
Al  0.5000  0.0000  0.4936 x1
Tl  0.5000  0.5000  0.9145 x1


(3)
Here is a crystal of ScAl2Tl relaxed with PBEsol from the Alexandria database. Energies are from meta-GGA SCAN.

Computed properties:
* N(E_F): 0.439 states/eV per atom
* energy of formation from the pure elements: -1.02 eV/f.u.
* DFT total energy: -25.779 eV/atom

Cell lengths 5.8033, 5.8050, 5.3976 Å; angles 90.00, 122.32, 90.00 degrees
Space group C2 (No. 5)
Unique sites:
Sc  0.0000  0.0000  0.0000 x2
Al  0.0000  0.5001  0.0000 x2
Al  0.0000  0.7499  0.5000 x2
Tl  0.0000  0.2499  0.5000 x2


(4)
Here is a crystal of Sc2AlTl relaxed with PBEsol from the Alexandria database. Energies are from meta-GGA SCAN.

Computed properties:
* N(E_F): 0.545 states/eV per atom
* energy of formation from the pure elements: -1.82 eV/f.u.
* DFT total energy: -27.602 eV/atom

Cell lengths 6.1753, 8.3998, 3.1641 Å; angles 90.00, 90.00, 90.00 degrees
Space group Cmmm (No. 65)
Unique sites:
Sc  0.2500  0.2500  0.0000 x4
Al  0.0000  0.0000  0.5000 x2
Tl  0.0000  0.5000  0.5000 x2


(5)
Here is a crystal of Sc2AlW relaxed with PBEsol from the Alexandria database. Energies are from meta-GGA SCAN.

Computed properties:
* N(E_F): 0.725 states/eV per atom
* energy of formation from the pure elements: 0.21 eV/f.u.
* DFT total energy: -26.427 eV/atom

Cell lengths 5.9246, 8.6018, 2.8465 Å; angles 90.00, 90.00, 90.00 degrees
Space group Cmmm (No. 65)
Unique sites:
Sc  0.2500  0.2500  0.0000 x4
Al  0.0000  0.0000  0.5000 x2
W  0.0000  0.5000  0.5000 x2


(6)
Here is a crystal of Sc2AlW relaxed with PBEsol from the Alexandria database. Energies are from meta-GGA SCAN.

Computed properties:
* N(E_F): 0.715 states/eV per atom
* energy of formation from the pure elements: 0.57 eV/f.u.
* DFT total energy: -26.336 eV/atom

Cell lengths 9.6183, 2.9454, 5.1740 Å; angles 90.00, 100.10, 90.00 degrees
Space group C2/m (No. 12)
Unique sites:
Sc  0.2505  0.0000  0.2492 x4
Al  0.0000  0.0000  0.5000 x2
W  0.0000  0.5000  0.0000 x2


(7)
Here is a crystal of ScAlW3 relaxed with PBEsol from the Alexandria database. Energies are from meta-GGA SCAN.

Computed properties:
* N(E_F): 1.260 states/eV per atom
* energy of formation from the pure elements: 7.86 eV/f.u.
* DFT total energy: -44.639 eV/atom

Cell lengths 4.5571, 4.5571, 4.5571 Å; angles 90.00, 90.00, 90.00 degrees
Space group Pm-3m (No. 221)
Unique sites:
Sc  0.0000  0.0000  0.0000 x1
Al  0.5000  0.5000  0.5000 x1
W  0.0000  0.5000  0.5000 x3


(8)
Here is a crystal of Sc2AlW relaxed with PBEsol from the Alexandria database. Energies are from meta-GGA SCAN.

Computed properties:
* N(E_F): 0.943 states/eV per atom
* energy of formation from the pure elements: 0.42 eV/f.u.
* DFT total energy: -26.372 eV/atom

Cell lengths 2.9180, 4.1110, 6.0497 Å; angles 90.00, 90.00, 90.00 degrees
Space group Pmm2 (No. 25)
Unique sites:
Sc  0.0000  0.0000  0.0000 x1
Sc  0.5000  0.5000  0.2850 x1
Al  0.5000  0.5000  0.7474 x1
W  0.0000  0.0000  0.5295 x1